1.
Material: CsAgIr3
Method: DFT, PBE-GGA
State: optimized geometry

The symmetry is Pm-3m (221). For the formation energy, the calculation gives 3.047 eV/atom. For the energy above the most stable polymorph in this dataset, the calculation gives 21.23 kcal/mol of atoms.

Structure (POSCAR):
```
CsAgIr3
1.0
4.9801 0.0000 0.0000
0.0000 4.9801 0.0000
0.0000 0.0000 4.9801
Cs Ag Ir
1 1 3
Direct
0.0000 0.0000 0.0000
0.5000 0.5000 0.5000
0.0000 0.0000 0.5000
0.0000 0.5000 0.0000
0.5000 0.0000 0.0000
```

2.
Material: CsAgIr3
Method: DFT, PBE-GGA
State: optimized geometry

The symmetry is Pm-3m (221). For the formation energy, the calculation gives 2.127 eV/atom. For the energy above the most stable polymorph in this dataset, the calculation gives 0.00 kcal/mol of atoms.

Structure (POSCAR):
```
CsAgIr3
1.0
5.0348 0.0000 0.0000
0.0000 5.0348 0.0000
0.0000 0.0000 5.0348
Cs Ag Ir
1 1 3
Direct
0.0000 0.0000 0.0000
0.5000 0.5000 0.5000
0.0000 0.5000 0.5000
0.5000 0.0000 0.5000
0.5000 0.5000 0.0000
```

3.
Material: Cs2LaAgIr
Method: DFT, PBE-GGA
State: optimized geometry

The symmetry is P4/mmm (123). For the formation energy, the calculation gives 0.330 eV/atom.

Structure (POSCAR):
```
Cs2LaAgIr
1.0
6.8968 0.0000 0.0000
0.0000 6.8968 0.0000
0.0000 0.0000 5.2326
Cs La Ag Ir
2 1 1 1
Direct
0.0000 0.5000 0.0000
0.5000 0.0000 0.0000
0.0000 0.0000 0.5000
0.5000 0.5000 0.5000
0.0000 0.0000 0.0000
```

4.
Material: CsLi2AgIr
Method: DFT, PBE-GGA
State: optimized geometry

The symmetry is P4/mmm (123). For the formation energy, the calculation gives 0.651 eV/atom.

Structure (POSCAR):
```
CsLi2AgIr
1.0
5.0770 0.0000 0.0000
0.0000 5.0770 0.0000
0.0000 0.0000 5.4960
Cs Li Ag Ir
1 2 1 1
Direct
0.0000 0.0000 0.0000
0.0000 0.5000 0.5000
0.5000 0.0000 0.5000
0.5000 0.5000 0.0000
0.0000 0.0000 0.5000
```

5.
Material: CsAgIrO4
Method: DFT, PBE-GGA
State: optimized geometry

The symmetry is I-4 (82). The raw formation energy comes out at -619 meV/atom.

Structure (POSCAR):
```
CsAgIrO4
1.0
-3.2459 3.2459 3.9741
3.2459 -3.2459 3.9741
3.2459 3.2459 -3.9741
Cs Ag Ir O
1 1 1 4
Direct
0.0000 0.0000 0.0000
0.5000 0.5000 0.0000
0.7500 0.2500 0.5000
0.0684 0.4555 0.8543
0.5445 0.3988 0.6129
0.6012 0.2141 0.1457
0.7859 0.9316 0.3871
```

6.
Material: Cs2AgIrO4
Method: DFT, PBE-GGA
State: optimized geometry

The symmetry is Fddd (70). The raw formation energy comes out at -723 meV/atom.

Structure (POSCAR):
```
Cs2AgIrO4
1.0
0.0000 6.6422 10.1138
3.2984 0.0000 10.1138
3.2984 6.6422 0.0000
Cs Ag Ir O
4 2 2 8
Direct
0.0528 0.0528 0.6972
0.3028 0.3028 0.9472
0.6972 0.6972 0.0528
0.9472 0.9472 0.3028
0.1250 0.1250 0.1250
0.8750 0.8750 0.8750
0.3750 0.3750 0.3750
0.6250 0.6250 0.6250
0.0580 0.6377 0.5127
0.2916 0.5127 0.6377
0.3623 0.9420 0.7084
0.4873 0.7084 0.9420
0.5127 0.2916 0.0580
0.6377 0.0580 0.2916
0.7084 0.4873 0.3623
0.9420 0.3623 0.4873
```

7.
Material: CsAgPIr
Method: DFT, PBE-GGA
State: optimized geometry

The symmetry is P4/nmm (129). For the formation energy, the calculation gives -0.362 eV/atom.

Structure (POSCAR):
```
CsAgPIr
1.0
3.9818 0.0000 0.0000
0.0000 3.9818 0.0000
0.0000 0.0000 13.4151
Cs Ag P Ir
2 2 2 2
Direct
0.2500 0.2500 0.2394
0.7500 0.7500 0.7606
0.2500 0.7500 0.0000
0.7500 0.2500 0.0000
0.2500 0.2500 0.5953
0.7500 0.7500 0.4047
0.2500 0.7500 0.5000
0.7500 0.2500 0.5000
```

8.
Material: CsReAg2Ir
Method: DFT, PBE-GGA
State: optimized geometry

The symmetry is P4/mmm (123). For the formation energy, the calculation gives 2.095 eV/atom.

Structure (POSCAR):
```
CsReAg2Ir
1.0
5.2778 0.0000 0.0000
0.0000 5.2778 0.0000
0.0000 0.0000 5.3325
Cs Re Ag Ir
1 1 2 1
Direct
0.0000 0.0000 0.0000
0.5000 0.5000 0.0000
0.0000 0.5000 0.5000
0.5000 0.0000 0.5000
0.0000 0.0000 0.5000
```

9.
Material: CsTl2AgIr
Method: DFT, PBE-GGA
State: optimized geometry

The symmetry is P4/mmm (123). For the formation energy, the calculation gives 0.101 eV/atom.

Structure (POSCAR):
```
CsTl2AgIr
1.0
5.3141 0.0000 0.0000
0.0000 5.3141 0.0000
0.0000 0.0000 5.5804
Cs Tl Ag Ir
1 2 1 1
Direct
0.0000 0.0000 0.0000
0.0000 0.5000 0.5000
0.5000 0.0000 0.5000
0.5000 0.5000 0.0000
0.5000 0.5000 0.5000
```

10.
Material: CsAg2IrW
Method: DFT, PBE-GGA
State: optimized geometry

The symmetry is P4/mmm (123). For the formation energy, the calculation gives 1.029 eV/atom.

Structure (POSCAR):
```
CsAg2IrW
1.0
5.4194 0.0000 0.0000
0.0000 5.4194 0.0000
0.0000 0.0000 4.7756
Cs Ag Ir W
1 2 1 1
Direct
0.0000 0.0000 0.0000
0.0000 0.5000 0.5000
0.5000 0.0000 0.5000
0.5000 0.5000 0.5000
0.5000 0.5000 0.0000
```

11.
Material: CsYAg2Ir
Method: DFT, PBE-GGA
State: optimized geometry

The symmetry is P4/mmm (123). For the formation energy, the calculation gives 1.602 eV/atom.

Structure (POSCAR):
```
CsYAg2Ir
1.0
5.5025 0.0000 0.0000
0.0000 5.5025 0.0000
0.0000 0.0000 5.2682
Cs Y Ag Ir
1 1 2 1
Direct
0.0000 0.0000 0.0000
0.5000 0.5000 0.5000
0.0000 0.5000 0.0000
0.5000 0.0000 0.0000
0.0000 0.0000 0.5000
```

12.
Material: Cs4K5Ag2
Method: DFT, PBE-GGA
State: optimized geometry

The symmetry is P2/m (10). For the formation energy, the calculation gives 0.031 eV/atom.

Structure (POSCAR):
```
Cs4K5Ag2
1.0
12.0740 0.0000 0.0000
0.0000 4.9588 0.0000
-0.6458 0.0000 12.9264
Cs K Ag
4 5 2
Direct
0.1665 0.0000 0.3145
0.1918 0.0000 0.9627
0.8082 0.0000 0.0373
0.8335 0.0000 0.6855
0.1562 0.5000 0.6534
0.4890 0.5000 0.1697
0.5000 0.5000 0.5000
0.5110 0.5000 0.8303
0.8438 0.5000 0.3466
0.0250 0.5000 0.1135
0.9750 0.5000 0.8865
```

13.
Material: Cs8KAg2
Method: DFT, PBE-GGA
State: optimized geometry

The symmetry is C2/m (12). For the formation energy, the calculation gives 0.043 eV/atom.

Structure (POSCAR):
```
Cs8KAg2
1.0
10.9335 -5.0462 0.0000
10.9335 5.0462 0.0000
-0.5070 0.0000 8.4031
Cs K Ag
8 1 2
Direct
0.0833 0.0833 0.3381
0.1279 0.6055 0.0990
0.2854 0.2854 0.5996
0.3945 0.8721 0.9010
0.6055 0.1279 0.0990
0.7146 0.7146 0.4004
0.8721 0.3945 0.9010
0.9167 0.9167 0.6619
0.5000 0.5000 0.5000
0.2331 0.2331 0.1230
0.7669 0.7669 0.8770
```

14.
Material: CsK5Ag2
Method: DFT, PBE-GGA
State: optimized geometry

The symmetry is Immm (71). For the formation energy, the calculation gives 0.044 eV/atom.

Structure (POSCAR):
```
CsK5Ag2
1.0
-2.8170 5.5371 6.9899
2.8170 -5.5371 6.9899
2.8170 5.5371 -6.9899
Cs K Ag
1 5 2
Direct
0.0000 0.0000 0.0000
0.1460 0.3339 0.8121
0.4781 0.6661 0.8121
0.5000 0.0000 0.5000
0.5219 0.3339 0.1879
0.8540 0.6661 0.1879
0.2424 0.7424 0.5000
0.7576 0.2576 0.5000
```

15.
Material: Cs2K4Ag
Method: DFT, PBE-GGA
State: optimized geometry

The symmetry is I4/mcm (140). For the formation energy, the calculation gives 0.029 eV/atom. For the energy above the most stable polymorph in this dataset, the calculation gives 0.00 kcal/mol of atoms.

Structure (POSCAR):
```
Cs2K4Ag
1.0
-8.2641 8.2641 3.7727
8.2641 -8.2641 3.7727
8.2641 8.2641 -3.7727
Cs K Ag
4 8 2
Direct
0.1202 0.6202 0.7405
0.3798 0.1202 0.5000
0.6202 0.8798 0.5000
0.8798 0.3798 0.2595
0.0798 0.1685 0.2483
0.1685 0.9202 0.0887
0.3315 0.4202 0.7517
0.4202 0.6685 0.0887
0.5798 0.3315 0.9113
0.6685 0.5798 0.2483
0.8315 0.0798 0.9113
0.9202 0.8315 0.7517
0.2500 0.2500 0.0000
0.7500 0.7500 0.0000
```

16.
Material: Cs6K12Ag
Method: DFT, PBE-GGA
State: optimized geometry

The symmetry is R-3m (166). For the formation energy, the calculation gives 0.017 eV/atom.

Structure (POSCAR):
```
Cs6K12Ag
1.0
7.4116 4.2791 8.0552
-7.4116 4.2791 8.0552
0.0000 -8.5582 8.0552
Cs K Ag
6 12 1
Direct
0.2937 0.2937 0.6450
0.2937 0.6450 0.2937
0.3550 0.7063 0.7063
0.6450 0.2937 0.2937
0.7063 0.3550 0.7063
0.7063 0.7063 0.3550
0.0185 0.0185 0.6941
0.0185 0.6941 0.0185
0.0351 0.3538 0.3538
0.3059 0.9815 0.9815
0.3538 0.0351 0.3538
0.3538 0.3538 0.0351
0.6462 0.6462 0.9649
0.6462 0.9649 0.6462
0.6941 0.0185 0.0185
0.9649 0.6462 0.6462
0.9815 0.3059 0.9815
0.9815 0.9815 0.3059
0.5000 0.5000 0.5000
```

17.
Material: CsK3Ag
Method: DFT, PBE-GGA
State: optimized geometry

The symmetry is Pm-3m (221). For the formation energy, the calculation gives 0.621 eV/atom. For the energy above the most stable polymorph in this dataset, the calculation gives 13.49 kcal/mol of atoms.

Structure (POSCAR):
```
CsK3Ag
1.0
7.9331 0.0000 0.0000
0.0000 7.9331 0.0000
0.0000 0.0000 7.9331
Cs K Ag
1 3 1
Direct
0.0000 0.0000 0.0000
0.0000 0.0000 0.5000
0.0000 0.5000 0.0000
0.5000 0.0000 0.0000
0.5000 0.5000 0.5000
```

18.
Material: Cs5K2Ag4
Method: DFT, PBE-GGA
State: optimized geometry

The symmetry is C2/m (12). For the formation energy, the calculation gives 0.063 eV/atom.

Structure (POSCAR):
```
Cs5K2Ag4
1.0
13.2423 -2.5511 0.0000
13.2423 2.5511 0.0000
-1.1538 0.0000 10.2869
Cs K Ag
5 2 4
Direct
0.0000 0.0000 0.0000
0.3410 0.3410 0.0185
0.4200 0.4200 0.5650
0.5800 0.5800 0.4350
0.6590 0.6590 0.9815
0.2138 0.2138 0.6461
0.7862 0.7862 0.3539
0.0879 0.0879 0.7315
0.4538 0.4538 0.2382
0.5462 0.5462 0.7618
0.9121 0.9121 0.2685
```

19.
Material: Cs4K7Ag
Method: DFT, PBE-GGA
State: optimized geometry

The symmetry is C2/m (12). For the formation energy, the calculation gives 0.021 eV/atom.

Structure (POSCAR):
```
Cs4K7Ag
1.0
7.8548 -3.5170 0.0000
7.8548 3.5170 0.0000
-4.5561 0.0000 17.1142
Cs K Ag
4 7 1
Direct
0.0577 0.0577 0.3131
0.3308 0.3308 0.2219
0.6692 0.6692 0.7781
0.9423 0.9423 0.6869
0.1304 0.1304 0.9629
0.2237 0.2237 0.5851
0.3982 0.3982 0.8787
0.5000 0.5000 0.5000
0.6018 0.6018 0.1213
0.7763 0.7763 0.4149
0.8696 0.8696 0.0371
0.0000 0.0000 0.5000
```

20.
Material: CsK3Ag
Method: DFT, PBE-GGA
State: optimized geometry

The symmetry is Pm-3m (221). For the formation energy, the calculation gives 0.045 eV/atom. For the energy above the most stable polymorph in this dataset, the calculation gives 0.21 kcal/mol of atoms.

Structure (POSCAR):
```
CsK3Ag
1.0
6.8869 0.0000 0.0000
0.0000 6.8869 0.0000
0.0000 0.0000 6.8869
Cs K Ag
1 3 1
Direct
0.0000 0.0000 0.0000
0.0000 0.5000 0.5000
0.5000 0.0000 0.5000
0.5000 0.5000 0.0000
0.5000 0.5000 0.5000
```